Computed, not measured: a relaxed PrSm2Cd6 crystal at the GGA-PBE level of DFT.

Output
Formation enthalpy at 0 K, meV/atom: -273
Space group: Immm (71)
Polymorph energy (0 for the lowest one), meV/atom: 67.5
Total magnetization, μB per cell: 0.07

```
data_PrSm2Cd6
_chemical_formula_sum 'Pr1 Sm2 Cd6'
_space_group_name_H-M_alt 'P 1'
_space_group_IT_number 1
_cell_length_a 9.073
_cell_length_b 9.073
_cell_length_c 9.073
_cell_angle_alpha 158.14
_cell_angle_beta 121.85
_cell_angle_gamma 62.89
loop_
_space_group_symop_operation_xyz
'x,y,z'
loop_
_atom_site_label
_atom_site_fract_x
_atom_site_fract_y
_atom_site_fract_z
Pr1 0.000 0.000 0.000
Sm1 0.349 0.849 0.500
Sm2 0.651 0.151 0.500
Cd1 0.004 0.331 0.673
Cd2 0.329 0.500 0.829
Cd3 0.342 0.669 0.673
Cd4 0.658 0.331 0.327
Cd5 0.671 0.500 0.171
Cd6 0.996 0.669 0.327
```